[1]
TbNd2Tm3S6: optimized geometry, PBE.

Cell lengths 17.2287, 3.8926, 7.9630 Å; angles 90.00, 104.70, 90.00 degrees
Space group C2/m (No. 12)
Inequivalent atoms, fractional coordinates:
Tb 0.0000 0.0000 0.0000 [2 per cell]
Nd 0.1673 0.5000 0.3347 [4 per cell]
Tm 0.0000 0.0000 0.5000 [2 per cell]
Tm 0.1682 0.5000 0.8336 [4 per cell]
S 0.0051 0.5000 0.7466 [4 per cell]
S 0.1616 0.0000 0.5957 [4 per cell]
S 0.1679 0.0000 0.0694 [4 per cell]

Results
**Formation energy from raw total energies**: -1.980 eV/atom
**Theoretical density**: 7.37 g cm⁻³
**Uncorrected energy**: -6.342 eV per atom


[2]
Tb4Nd3TmS8: optimized geometry, PBE.

Cell lengths 7.9403, 7.9403, 19.4932 Å; angles 90.00, 90.00, 120.00 degrees
Space group R-3m (No. 166, hexagonal axes)
Inequivalent atoms, fractional coordinates:
Tb 0.0000 0.0000 0.0000 [3 per cell]
Tb 0.0000 0.5000 0.0000 [9 per cell]
Nd 0.0000 0.5000 0.5000 [9 per cell]
Tm 0.0000 0.0000 0.5000 [3 per cell]
S 0.0000 0.0000 0.2546 [6 per cell]
S 0.0103 0.5051 0.2519 [18 per cell]

Results
**Formation energy from raw total energies**: -1.996 eV/atom
**Theoretical density**: 6.99 g cm⁻³
**Uncorrected energy**: -6.391 eV per atom


[3]
Tb2Nd3TmS6: optimized geometry, PBE.

Cell lengths 6.8464, 11.8970, 6.9775 Å; angles 90.00, 109.15, 90.00 degrees
Space group C2/m (No. 12)
Inequivalent atoms, fractional coordinates:
Tb 0.0000 0.1668 0.0000 [4 per cell]
Nd 0.0000 0.0000 0.5000 [2 per cell]
Nd 0.0000 0.3309 0.5000 [4 per cell]
Tm 0.0000 0.5000 0.0000 [2 per cell]
S 0.2416 0.3359 0.2330 [8 per cell]
S 0.2501 0.0000 0.2350 [4 per cell]

Results
**Formation energy from raw total energies**: -2.012 eV/atom
**Theoretical density**: 6.88 g cm⁻³
**Uncorrected energy**: -6.412 eV per atom


[4]
TbNd2TmS4: optimized geometry, PBE.

Cell lengths 6.8338, 3.9164, 7.0272 Å; angles 90.00, 108.68, 90.00 degrees
Space group P2/m (No. 10)
Inequivalent atoms, fractional coordinates:
Tb 0.0000 0.0000 0.0000 [1 per cell]
Nd 0.0000 0.5000 0.5000 [1 per cell]
Nd 0.5000 0.0000 0.5000 [1 per cell]
Tm 0.5000 0.5000 0.0000 [1 per cell]
S 0.2482 0.5000 0.2331 [2 per cell]
S 0.2609 0.0000 0.7697 [2 per cell]

Results
**Formation energy from raw total energies**: -2.003 eV/atom
**Theoretical density**: 6.94 g cm⁻³
**Uncorrected energy**: -6.396 eV per atom


[5]
TbNd4Tm3S8: optimized geometry, PBE.

Cell lengths 7.8484, 7.8484, 19.9020 Å; angles 90.00, 90.00, 120.00 degrees
Space group R-3m (No. 166, hexagonal axes)
Inequivalent atoms, fractional coordinates:
Tb 0.0000 0.0000 0.0000 [3 per cell]
Nd 0.0000 0.0000 0.5000 [3 per cell]
Nd 0.0000 0.5000 0.5000 [9 per cell]
Tm 0.0000 0.5000 0.0000 [9 per cell]
S 0.0000 0.0000 0.2576 [6 per cell]
S 0.0040 0.5020 0.2568 [18 per cell]

Results
**Formation energy from raw total energies**: -1.994 eV/atom
**Theoretical density**: 7.03 g cm⁻³
**Uncorrected energy**: -6.378 eV per atom


[6]
TbNd3Y2S6: optimized geometry, PBE.

Cell lengths 6.8750, 11.9478, 6.9753 Å; angles 90.00, 109.24, 90.00 degrees
Space group C2/m (No. 12)
Inequivalent atoms, fractional coordinates:
Tb 0.0000 0.0000 0.0000 [2 per cell]
Nd 0.0000 0.1665 0.5000 [4 per cell]
Nd 0.0000 0.5000 0.5000 [2 per cell]
Y 0.0000 0.3334 0.0000 [4 per cell]
S 0.2455 0.1670 0.2359 [8 per cell]
S 0.2446 0.5000 0.2358 [4 per cell]

Results
**Formation energy from raw total energies**: -2.020 eV/atom
**Theoretical density**: 5.91 g cm⁻³
**Uncorrected energy**: -6.739 eV per atom


[7]
TbNd2YS4: optimized geometry, PBE.

Cell lengths 6.8817, 3.9454, 7.0266 Å; angles 90.00, 108.84, 90.00 degrees
Space group P2/m (No. 10)
Inequivalent atoms, fractional coordinates:
Tb 0.0000 0.0000 0.0000 [1 per cell]
Nd 0.0000 0.5000 0.5000 [1 per cell]
Nd 0.5000 0.0000 0.5000 [1 per cell]
Y 0.5000 0.5000 0.0000 [1 per cell]
S 0.2455 0.5000 0.2357 [2 per cell]
S 0.2555 0.0000 0.7646 [2 per cell]

Results
**Formation energy from raw total energies**: -2.017 eV/atom
**Theoretical density**: 6.11 g cm⁻³
**Uncorrected energy**: -6.660 eV per atom


[8]
Tb2NdY3S6: optimized geometry, PBE.

Cell lengths 6.8209, 11.8567, 6.8388 Å; angles 90.00, 109.46, 90.00 degrees
Space group C2/m (No. 12)
Inequivalent atoms, fractional coordinates:
Tb 0.0000 0.1660 0.0000 [4 per cell]
Nd 0.0000 0.5000 0.0000 [2 per cell]
Y 0.0000 0.0000 0.5000 [2 per cell]
Y 0.0000 0.3370 0.5000 [4 per cell]
S 0.2435 0.0000 0.2536 [4 per cell]
S 0.2441 0.1706 0.7439 [8 per cell]

Results
**Formation energy from raw total energies**: -2.008 eV/atom
**Theoretical density**: 5.87 g cm⁻³
**Uncorrected energy**: -6.857 eV per atom


> Which of these has the lowest formation energy from raw total energies?

TbNd3Y2S6


> Which value of theoretical density does entry 1 give?

7.37 g cm⁻³


> Which of these has the highest theoretical density?

TbNd2Tm3S6